Version A
A geometry-optimized TbEr3Al structure, computed with PBE.

Total magnetization (μB/atom): 0.09

POSCAR file:
```
TbEr3Al
1.0
6.417 -1.779 0.000
6.417 1.779 0.000
-1.105 0.000 12.327
Tb Er Al
2 6 2
Direct
0.225 0.225 0.248
0.775 0.775 0.752
0.033 0.033 0.694
0.141 0.141 0.950
0.365 0.365 0.518
0.635 0.635 0.482
0.859 0.859 0.050
0.967 0.967 0.306
0.450 0.450 0.879
0.550 0.550 0.121
```

---

Version B
A geometry-optimized TbEr3Al structure, computed with PBE.

Total magnetization (μB/atom): 0.00

POSCAR file:
```
TbEr3Al
1.0
6.679 -6.657 0.000
6.679 6.657 0.000
-1.064 0.000 6.530
Tb Er Al
4 12 4
Direct
0.075 0.712 0.866
0.288 0.925 0.634
0.712 0.075 0.366
0.925 0.288 0.134
0.030 0.180 0.619
0.180 0.030 0.119
0.189 0.507 0.482
0.236 0.405 0.976
0.405 0.236 0.476
0.493 0.811 0.018
0.507 0.189 0.982
0.595 0.764 0.524
0.764 0.595 0.024
0.811 0.493 0.518
0.820 0.970 0.881
0.970 0.820 0.381
0.279 0.721 0.250
0.493 0.507 0.750
0.507 0.493 0.250
0.721 0.279 0.750
```

---

Most stable of them? version A.

---

Version A
A geometry-optimized TbEr4Al2 structure, computed with PBE.

Total magnetization (μB/atom): 0.00

POSCAR file:
```
TbEr4Al2
1.0
-2.797 2.797 6.331
2.797 -2.797 6.331
2.797 2.797 -6.331
Tb Er Al
1 4 2
Direct
0.000 0.000 0.000
0.000 0.500 0.500
0.250 0.750 0.500
0.500 0.000 0.500
0.750 0.250 0.500
0.384 0.384 0.000
0.616 0.616 0.000
```

---

Version B
A geometry-optimized TbEr4Al2 structure, computed with PBE.

Total magnetization (μB/atom): 0.00

POSCAR file:
```
TbEr4Al2
1.0
6.075 0.000 0.000
-1.276 6.015 0.000
-1.293 -2.836 5.301
Tb Er Al
1 4 2
Direct
0.000 0.000 0.000
0.000 0.338 0.662
0.000 0.662 0.338
0.500 0.212 0.787
0.500 0.788 0.213
0.470 0.681 0.681
0.530 0.319 0.319
```

---

Most stable of them? version B.